Density functional theory data (PBE) for a geometry-optimized PmTm3Tl4 structure.

Unit cell a=10.763 b=7.518 c=5.379 alpha=90.00 beta=90.00 gamma=90.00
Space group Pmma (No. 51)
One atom of each set of equivalent atoms:
Pm (0.000, 0.000, 0.000) [2 per cell]
Tm (0.000, 0.500, 0.000) [2 per cell]
Tm (0.250, 0.000, 0.497) [2 per cell]
Tm (0.250, 0.500, 0.497) [2 per cell]
Tl (0.000, 0.257, 0.500) [4 per cell]
Tl (0.250, 0.257, 0.996) [4 per cell]

Calculated values
The value obtained for the energy relative to the elements is -243 kJ/mol of formula units. For the density of states at the Fermi level, the calculation gives 0.81 states/eV per atom. The calculation puts the electronic total energy at -3.769 eV/atom.